The following is a SCAN calculation of a PBEsol-optimized structure of Li5FeF8, from the Alexandria database.

```
data_Li5FeF8
_chemical_formula_sum 'Li5 Fe1 F8'
_symmetry_space_group_name_H-M 'P 1'
_symmetry_Int_Tables_number 1
_cell_length_a 4.971
_cell_length_b 4.971
_cell_length_c 5.758
_cell_angle_alpha 90.00
_cell_angle_beta 90.00
_cell_angle_gamma 110.44
loop_
_symmetry_equiv_pos_as_xyz
'x,y,z'
loop_
_atom_site_label
_atom_site_type_symbol
_atom_site_fract_x
_atom_site_fract_y
_atom_site_fract_z
F1 F 0.275 0.275 0.732
F2 F 0.735 0.265 0.000
F3 F 0.729 0.271 0.500
F4 F 0.271 0.729 0.500
F5 F 0.265 0.735 0.000
F6 F 0.725 0.725 0.268
F7 F 0.725 0.725 0.732
F8 F 0.275 0.275 0.268
Li1 Li 0.000 0.500 0.768
Li2 Li 0.500 0.000 0.768
Li3 Li 0.500 0.000 0.232
Li4 Li 0.500 0.500 0.000
Li5 Li 0.000 0.500 0.232
Fe1 Fe 0.500 0.500 0.500
```

* spin magnetization: 0.071 μB/atom
* ρ: 3.02 g/cm³
* ΔE_f (raw): -2.900 eV per atom
* final energy: -99.00 eV for the cell shown

***

The following is a SCAN calculation of a PBEsol-optimized structure of Sc3Ag, from the Alexandria database.

```
data_Sc3Ag
_chemical_formula_sum 'Sc3 Ag1'
_symmetry_space_group_name_H-M 'P 1'
_symmetry_Int_Tables_number 1
_cell_length_a 3.216
_cell_length_b 3.216
_cell_length_c 8.314
_cell_angle_alpha 90.00
_cell_angle_beta 90.00
_cell_angle_gamma 90.00
loop_
_symmetry_equiv_pos_as_xyz
'x,y,z'
loop_
_atom_site_label
_atom_site_type_symbol
_atom_site_fract_x
_atom_site_fract_y
_atom_site_fract_z
Sc1 Sc 0.500 0.500 0.225
Sc2 Sc 0.500 0.500 0.775
Sc3 Sc 0.000 0.000 0.500
Ag1 Ag 0.000 0.000 0.000
```

* spin magnetization: 0.397 μB/atom
* E above lowest polymorph: 32 kJ/mol of formula units
* ρ: 4.69 g/cm³
* final energy: -74.57 eV for the cell shown

***

The following is a SCAN calculation of a PBEsol-optimized structure of ScBCl2, from the Alexandria database.

```
data_ScBCl2
_chemical_formula_sum 'Sc1 B1 Cl2'
_symmetry_space_group_name_H-M 'P 1'
_symmetry_Int_Tables_number 1
_cell_length_a 3.491
_cell_length_b 3.491
_cell_length_c 8.072
_cell_angle_alpha 77.51
_cell_angle_beta 77.51
_cell_angle_gamma 60.00
loop_
_symmetry_equiv_pos_as_xyz
'x,y,z'
loop_
_atom_site_label
_atom_site_type_symbol
_atom_site_fract_x
_atom_site_fract_y
_atom_site_fract_z
Cl1 Cl 0.104 0.104 0.689
Cl2 Cl 0.896 0.896 0.311
B1 B 0.500 0.500 0.500
Sc1 Sc 0.000 0.000 0.000
```

* spin magnetization: 0.000 μB/atom
* ρ: 2.55 g/cm³
* ΔE_f (raw): 0.220 eV per atom
* final energy: -36.74 eV for the cell shown

***

| no. | V (A^3/atom) |
| --- | --- |
| 1 | 9.52 |
| 2 | 21.49 |
| 3 | 20.62 |